{"formula": "LiTmBi2", "functional": "PBE-GGA", "state": "optimized geometry", "lattice_angstrom": [[5.035, 0.000, 0.000], [0.000, 5.035, 0.000], [0.000, 0.000, 4.180]], "species": ["Li", "Tm", "Bi", "Bi"], "frac_coords": [[0.000, 0.000, 0.000], [0.500, 0.500, 0.000], [0.000, 0.500, 0.500], [0.500, 0.000, 0.500]], "spacegroup": "P4/mmm (123)", "e_above_lowest_polymorph_ev_per_fu": 0.27, "formation_energy_ev_per_fu": -1.90, "volume_a3_per_fu": 106.0}